i) SrScTa2: optimized geometry, PBE-GGA.

Computed properties:
- M_tot (μB per cell) = 0.00
- crystal system = tetragonal
- calculated volume (Å³/cell) = 518.9

```
data_SrScTa2
_space_group_name_H-M_alt 'I 41/a m d'
_space_group_IT_number 141
_cell_length_a 4.9887
_cell_length_b 4.9887
_cell_length_c 20.8487
_cell_angle_alpha 90.00
_cell_angle_beta 90.00
_cell_angle_gamma 90.00
loop_
_space_group_symop_operation_xyz
'x,y,z'
'-x,-y,-z'
'-y+1/4,x+3/4,z+1/4'
'y+1/4,-x+3/4,-z+1/4'
'-x+1/2,-y,z+1/2'
'x+1/2,y,-z+1/2'
'y+1/4,-x+1/4,z+3/4'
'-y+1/4,x+1/4,-z+3/4'
'x,-y,-z'
'-x,y,z'
'-y+1/4,-x+1/4,-z+3/4'
'y+1/4,x+1/4,z+3/4'
'-x+1/2,y,-z+1/2'
'x+1/2,-y,z+1/2'
'y+1/4,x+3/4,-z+1/4'
'-y+1/4,-x+3/4,z+1/4'
'x+1/2,y+1/2,z+1/2'
'-x+1/2,-y+1/2,-z+1/2'
'-y+3/4,x+1/4,z+3/4'
'y+3/4,-x+1/4,-z+3/4'
'-x,-y+1/2,z'
'x,y+1/2,-z'
'y+3/4,-x+3/4,z+1/4'
'-y+3/4,x+3/4,-z+1/4'
'x+1/2,-y+1/2,-z+1/2'
'-x+1/2,y+1/2,z+1/2'
'-y+3/4,-x+3/4,-z+1/4'
'y+3/4,x+3/4,z+1/4'
'-x,y+1/2,-z'
'x,-y+1/2,z'
'y+3/4,x+1/4,-z+3/4'
'-y+3/4,-x+1/4,z+3/4'
loop_
_atom_site_label
_atom_site_type_symbol
_atom_site_fract_x
_atom_site_fract_y
_atom_site_fract_z
Sr1 Sr 0.0000 0.2500 0.3750
Sc1 Sc 0.0000 0.2500 0.8750
Ta1 Ta 0.0000 0.0000 0.0000
```

---

ii) SrScTa2: optimized geometry, PBE-GGA.

Computed properties:
- M_tot (μB per cell) = 0.00
- crystal system = monoclinic
- calculated volume (Å³/cell) = 180.3

```
data_SrScTa2
_space_group_name_H-M_alt 'C 1 2/m 1'
_space_group_IT_number 12
_space_group_name_Hall '-C 2y'
_cell_length_a 5.9306
_cell_length_b 10.3754
_cell_length_c 2.9302
_cell_angle_alpha 90.00
_cell_angle_beta 90.51
_cell_angle_gamma 90.00
loop_
_atom_site_label
_atom_site_type_symbol
_atom_site_fract_x
_atom_site_fract_y
_atom_site_fract_z
Sr1 Sr 0.0000 0.0000 0.0000
Sc1 Sc 0.0000 0.5000 0.0000
Ta1 Ta 0.2500 0.2500 0.5000
```

---

iii) SrScTa2: optimized geometry, PBE-GGA.

Computed properties:
- M_tot (μB per cell) = 0.00
- crystal system = tetragonal
- calculated volume (Å³/cell) = 104.9

```
data_SrScTa2
_space_group_name_H-M_alt 'P 4 m m'
_space_group_IT_number 99
_space_group_name_Hall 'P 4 -2'
_cell_length_a 3.5542
_cell_length_b 3.5542
_cell_length_c 8.3065
_cell_angle_alpha 90.00
_cell_angle_beta 90.00
_cell_angle_gamma 90.00
loop_
_atom_site_label
_atom_site_type_symbol
_atom_site_fract_x
_atom_site_fract_y
_atom_site_fract_z
Sr1 Sr 0.0000 0.0000 0.0000
Sc1 Sc 0.5000 0.5000 0.6424
Ta1 Ta 0.0000 0.0000 0.4305
Ta2 Ta 0.5000 0.5000 0.2931
```

---

iv) SrScTa2: optimized geometry, PBE-GGA.

Computed properties:
- M_tot (μB per cell) = 0.00
- crystal system = monoclinic
- calculated volume (Å³/cell) = 100.1

```
data_SrScTa2
_space_group_name_H-M_alt 'P 1 2/m 1'
_space_group_IT_number 10
_space_group_name_Hall '-P 2y'
_cell_length_a 3.0906
_cell_length_b 4.5409
_cell_length_c 7.1319
_cell_angle_alpha 90.00
_cell_angle_beta 90.18
_cell_angle_gamma 90.00
loop_
_atom_site_label
_atom_site_type_symbol
_atom_site_fract_x
_atom_site_fract_y
_atom_site_fract_z
Sr1 Sr 0.0000 0.0000 0.0000
Sc1 Sc 0.0000 0.0000 0.5000
Ta1 Ta 0.5002 0.5000 0.3156
```

---

Which is the most stable structure? iii) is the most stable.

---

i) SrScTa2: optimized geometry, PBE-GGA.

Computed properties:
- M_tot (μB per cell) = 0.00
- crystal system = tetragonal
- calculated volume (Å³/cell) = 93.2

```
data_SrScTa2
_space_group_name_H-M_alt 'P 4/m m m'
_space_group_IT_number 123
_space_group_name_Hall '-P 4 2'
_cell_length_a 3.0198
_cell_length_b 3.0198
_cell_length_c 10.2244
_cell_angle_alpha 90.00
_cell_angle_beta 90.00
_cell_angle_gamma 90.00
loop_
_atom_site_label
_atom_site_type_symbol
_atom_site_fract_x
_atom_site_fract_y
_atom_site_fract_z
Sr1 Sr 0.0000 0.0000 0.0000
Sc1 Sc 0.0000 0.0000 0.5000
Ta1 Ta 0.5000 0.5000 0.2886
```

---

ii) SrScTa2: optimized geometry, PBE-GGA.

Computed properties:
- M_tot (μB per cell) = 0.00
- crystal system = monoclinic
- calculated volume (Å³/cell) = 200.8

```
data_SrScTa2
_space_group_name_H-M_alt 'C 1 m 1'
_space_group_IT_number 8
_space_group_name_Hall 'C -2y'
_cell_length_a 9.6109
_cell_length_b 3.0632
_cell_length_c 6.8325
_cell_angle_alpha 90.00
_cell_angle_beta 93.45
_cell_angle_gamma 90.00
loop_
_atom_site_label
_atom_site_type_symbol
_atom_site_fract_x
_atom_site_fract_y
_atom_site_fract_z
Sr1 Sr 0.0000 0.0000 0.0000
Sc1 Sc 0.2660 0.5000 0.3299
Ta1 Ta 0.0035 0.5000 0.5388
Ta2 Ta 0.2396 0.0000 0.6912
```

---

iii) SrScTa2: optimized geometry, PBE-GGA.

Computed properties:
- M_tot (μB per cell) = 0.00
- crystal system = cubic
- calculated volume (Å³/cell) = 370.7

```
data_SrScTa2
_space_group_name_H-M_alt 'F m -3 m'
_space_group_IT_number 225
_space_group_name_Hall '-F 4 2 3'
_cell_length_a 7.1833
_cell_length_b 7.1833
_cell_length_c 7.1833
_cell_angle_alpha 90.00
_cell_angle_beta 90.00
_cell_angle_gamma 90.00
loop_
_atom_site_label
_atom_site_type_symbol
_atom_site_fract_x
_atom_site_fract_y
_atom_site_fract_z
Sr1 Sr 0.0000 0.0000 0.0000
Sc1 Sc 0.0000 0.0000 0.5000
Ta1 Ta 0.2500 0.2500 0.2500
```

---

Which is the most stable structure? ii) is the most stable.

---

i) SrScTa2: optimized geometry, PBE-GGA.

Computed properties:
- M_tot (μB per cell) = 0.00
- crystal system = tetragonal
- calculated volume (Å³/cell) = 99.7

```
data_SrScTa2
_space_group_name_H-M_alt 'P 4/m m m'
_space_group_IT_number 123
_space_group_name_Hall '-P 4 2'
_cell_length_a 3.6509
_cell_length_b 3.6509
_cell_length_c 7.4773
_cell_angle_alpha 90.00
_cell_angle_beta 90.00
_cell_angle_gamma 90.00
loop_
_atom_site_label
_atom_site_type_symbol
_atom_site_fract_x
_atom_site_fract_y
_atom_site_fract_z
Sr1 Sr 0.0000 0.0000 0.0000
Sc1 Sc 0.0000 0.0000 0.5000
Ta1 Ta 0.5000 0.5000 0.3235
```

---

ii) SrScTa2: optimized geometry, PBE-GGA.

Computed properties:
- M_tot (μB per cell) = 0.00
- crystal system = tetragonal
- calculated volume (Å³/cell) = 97.7

```
data_SrScTa2
_space_group_name_H-M_alt 'P 4 m m'
_space_group_IT_number 99
_space_group_name_Hall 'P 4 -2'
_cell_length_a 3.0943
_cell_length_b 3.0943
_cell_length_c 10.2056
_cell_angle_alpha 90.00
_cell_angle_beta 90.00
_cell_angle_gamma 90.00
loop_
_atom_site_label
_atom_site_type_symbol
_atom_site_fract_x
_atom_site_fract_y
_atom_site_fract_z
Sr1 Sr 0.0000 0.0000 0.0000
Sc1 Sc 0.5000 0.5000 0.6796
Ta1 Ta 0.0000 0.0000 0.4763
Ta2 Ta 0.5000 0.5000 0.2802
```

---

iii) SrScTa2: optimized geometry, PBE-GGA.

Computed properties:
- M_tot (μB per cell) = 0.00
- crystal system = monoclinic
- calculated volume (Å³/cell) = 202.1

```
data_SrScTa2
_space_group_name_H-M_alt 'C 1 2/m 1'
_space_group_IT_number 12
_space_group_name_Hall '-C 2y'
_cell_length_a 10.3371
_cell_length_b 3.0502
_cell_length_c 6.4230
_cell_angle_alpha 90.00
_cell_angle_beta 93.79
_cell_angle_gamma 90.00
loop_
_atom_site_label
_atom_site_type_symbol
_atom_site_fract_x
_atom_site_fract_y
_atom_site_fract_z
Sr1 Sr 0.0000 0.0000 0.0000
Sc1 Sc 0.0000 0.5000 0.5000
Ta1 Ta 0.2395 0.0000 0.6757
```

---

Which is the most stable structure? ii) is the most stable.

---

i) SrScTa2: optimized geometry, PBE-GGA.

Computed properties:
- M_tot (μB per cell) = 0.00
- crystal system = monoclinic
- calculated volume (Å³/cell) = 100.8

```
data_SrScTa2
_space_group_name_H-M_alt 'P 1 m 1'
_space_group_IT_number 6
_space_group_name_Hall 'P -2y'
_cell_length_a 3.0717
_cell_length_b 4.6706
_cell_length_c 7.0922
_cell_angle_alpha 90.00
_cell_angle_beta 97.66
_cell_angle_gamma 90.00
loop_
_atom_site_label
_atom_site_type_symbol
_atom_site_fract_x
_atom_site_fract_y
_atom_site_fract_z
Sr1 Sr 0.0000 0.0000 0.0000
Sc1 Sc 0.2917 0.5000 0.6637
Ta1 Ta 0.5360 0.0000 0.4536
Ta2 Ta 0.7865 0.5000 0.3072
```

---

ii) SrScTa2: optimized geometry, PBE-GGA.

Computed properties:
- M_tot (μB per cell) = 0.00
- crystal system = orthorhombic
- calculated volume (Å³/cell) = 192.2

```
data_SrScTa2
_space_group_name_H-M_alt 'C m m 2'
_space_group_IT_number 35
_space_group_name_Hall 'C 2 -2'
_cell_length_a 3.6760
_cell_length_b 5.0057
_cell_length_c 10.4465
_cell_angle_alpha 90.00
_cell_angle_beta 90.00
_cell_angle_gamma 90.00
loop_
_atom_site_label
_atom_site_type_symbol
_atom_site_fract_x
_atom_site_fract_y
_atom_site_fract_z
Sr1 Sr 0.0000 0.0000 0.0000
Sc1 Sc 0.0000 0.5000 0.3121
Ta1 Ta 0.0000 0.0000 0.5312
Ta2 Ta 0.0000 0.5000 0.7238
```

---

Which is the most stable structure? ii) is the most stable.

---

i) SrTb2Sc: optimized geometry, PBE-GGA.

Computed properties:
- M_tot (μB per cell) = 0.00
- crystal system = tetragonal
- calculated volume (Å³/cell) = 139.7

```
data_SrTb2Sc
_space_group_name_H-M_alt 'P 4/m m m'
_space_group_IT_number 123
_space_group_name_Hall '-P 4 2'
_cell_length_a 3.8982
_cell_length_b 3.8982
_cell_length_c 9.1917
_cell_angle_alpha 90.00
_cell_angle_beta 90.00
_cell_angle_gamma 90.00
loop_
_atom_site_label
_atom_site_type_symbol
_atom_site_fract_x
_atom_site_fract_y
_atom_site_fract_z
Sr1 Sr 0.0000 0.0000 0.0000
Tb1 Tb 0.5000 0.5000 0.3069
Sc1 Sc 0.0000 0.0000 0.5000
```

---

ii) SrTb2Sc: optimized geometry, PBE-GGA.

Computed properties:
- M_tot (μB per cell) = 0.00
- crystal system = trigonal
- calculated volume (Å³/cell) = 409.6

```
data_SrTb2Sc
_space_group_name_H-M_alt 'R -3 m'
_space_group_IT_number 166
_space_group_name_Hall '-R 3 2"'
_cell_length_a 3.5535
_cell_length_b 3.5535
_cell_length_c 37.4518
_cell_angle_alpha 90.00
_cell_angle_beta 90.00
_cell_angle_gamma 120.00
loop_
_atom_site_label
_atom_site_type_symbol
_atom_site_fract_x
_atom_site_fract_y
_atom_site_fract_z
Sr1 Sr 0.0000 0.0000 0.0000
Tb1 Tb 0.0000 0.0000 0.0958
Sc1 Sc 0.0000 0.0000 0.5000
```

---

Which is the most stable structure? i) is the most stable.